Record 1
An optimized crystal structure of Rb3AgF4, computed with GGA-PBE.

Computed properties:
- Formation energy from raw total energies: -2219.6 meV/atom
- SG: R3m

Cell lengths 5.680, 5.680, 5.680 Å; angles 90.25, 90.25, 90.25 degrees
Fractional positions:
Rb 0.167 0.167 0.665
Rb 0.167 0.665 0.167
Rb 0.665 0.167 0.167
Ag 0.716 0.716 0.716
F 0.117 0.660 0.660
F 0.165 0.165 0.165
F 0.660 0.117 0.660
F 0.660 0.660 0.117


Record 2
An optimized crystal structure of LiInAu4, computed with GGA-PBE.

Computed properties:
- Formation enthalpy at 0 K: -0.197 eV/atom
- SG: F-43m

Cell lengths 5.568, 5.568, 5.568 Å; angles 60.00, 60.00, 60.00 degrees
Fractional positions:
Li 0.000 0.000 0.000
In 0.250 0.250 0.250
Au 0.124 0.625 0.625
Au 0.625 0.124 0.625
Au 0.625 0.625 0.124
Au 0.625 0.625 0.625


Record 3
An optimized crystal structure of La3SmEr4, computed with GGA-PBE.

Computed properties:
- Formation enthalpy at 0 K: 0.034 eV/atom
- SG: Pmn2_1

Cell lengths 11.597, 7.318, 6.330 Å; angles 90.00, 90.00, 90.00 degrees
Fractional positions:
La 0.000 0.129 0.000
La 0.249 0.126 0.333
La 0.251 0.874 0.833
La 0.500 0.871 0.500
La 0.749 0.874 0.833
La 0.751 0.126 0.333
Sm 0.000 0.868 0.501
Sm 0.500 0.132 0.001
Er 0.000 0.381 0.500
Er 0.000 0.621 0.003
Er 0.249 0.619 0.333
Er 0.251 0.381 0.833
Er 0.500 0.379 0.503
Er 0.500 0.619 0.000
Er 0.749 0.381 0.833
Er 0.751 0.619 0.333


no.,offset from the most stable computed form (meV/atom)
1,6.9
2,91.0
3,0.0